Entry 1:
Material: Er3Au
Method: DFT, PBE
State: optimized geometry

Cell: 8.9765 8.9765 8.9765 Å, 96.66 96.66 140.19°
Fractional coordinates of all 16 atoms:
1 Er 0.0264 0.0248 0.5966
2 Er 0.1435 0.4984 0.6432
3 Er 0.1630 0.3557 0.9989
4 Er 0.3568 0.1641 0.0011
5 Er 0.4282 0.4298 0.4034
6 Er 0.4997 0.8565 0.3550
7 Er 0.5016 0.1447 0.6450
8 Er 0.5702 0.9736 0.9984
9 Er 0.6443 0.6432 0.8073
10 Er 0.8359 0.8370 0.1927
11 Er 0.8553 0.5003 0.3568
12 Er 0.9752 0.5718 0.0016
13 Au 0.0018 0.7081 0.7088
14 Au 0.2919 0.0007 0.2938
15 Au 0.7070 0.9982 0.7062
16 Au 0.9993 0.2930 0.2912

Distance to the lowest polymorph of the same formula = 21 meV/atom
N(E_F) = 1.6980 states/eV/atom
Energy relative to the elements = -0.3977 eV per atom

=====

Entry 2:
Material: HgIrN3
Method: DFT, PBE
State: optimized geometry

Cell: 4.0749 4.0749 4.0749 Å, 90.00 90.00 90.00°
Fractional coordinates of all 5 atoms:
1 Hg 0.0000 0.0000 0.0000
2 Ir 0.5000 0.5000 0.5000
3 N 0.0000 0.0000 0.5000
4 N 0.0000 0.5000 0.0000
5 N 0.5000 0.0000 0.0000

N(E_F) = 1.1296 states/eV/atom

=====

Entry 3:
Material: AcPm2Th
Method: DFT, PBE
State: optimized geometry

Cell: 5.2766 5.2766 5.1722 Å, 90.00 90.00 90.00°
Fractional coordinates of all 4 atoms:
1 Ac 0.0000 0.0000 0.0000
2 Pm 0.0000 0.5000 0.5000
3 Pm 0.5000 0.0000 0.5000
4 Th 0.5000 0.5000 0.0000

Distance to the lowest polymorph of the same formula = 49 meV/atom
N(E_F) = 1.2358 states/eV/atom
Energy relative to the elements = 0.0922 eV per atom

=====

Entry 4:
Material: MnCo2Re
Method: DFT, PBE
State: optimized geometry

Cell: 5.7696 5.7696 5.7696 Å, 90.00 90.00 90.00°
Fractional coordinates of all 16 atoms:
1 Mn 0.0000 0.0000 0.0000
2 Mn 0.0000 0.5000 0.5000
3 Mn 0.5000 0.0000 0.5000
4 Mn 0.5000 0.5000 0.0000
5 Co 0.0000 0.0000 0.5000
6 Co 0.0000 0.5000 0.0000
7 Co 0.2500 0.2500 0.7500
8 Co 0.2500 0.7500 0.2500
9 Co 0.5000 0.0000 0.0000
10 Co 0.5000 0.5000 0.5000
11 Co 0.7500 0.2500 0.2500
12 Co 0.7500 0.7500 0.7500
13 Re 0.2500 0.2500 0.2500
14 Re 0.2500 0.7500 0.7500
15 Re 0.7500 0.2500 0.7500
16 Re 0.7500 0.7500 0.2500

Distance to the lowest polymorph of the same formula = 145 meV/atom
N(E_F) = 1.2275 states/eV/atom
Energy relative to the elements = 0.1574 eV per atom

=====

Entry 5:
Material: CaPrAl
Method: DFT, PBE
State: optimized geometry

Cell: 5.2737 5.2737 3.6561 Å, 90.00 90.00 120.00°
Fractional coordinates of all 3 atoms:
1 Ca 0.0000 0.0000 0.0000
2 Pr 0.3333 0.6667 0.4225
3 Al 0.6667 0.3333 0.7402

Distance to the lowest polymorph of the same formula = 209 meV/atom
N(E_F) = 0.8550 states/eV/atom
Energy relative to the elements = -0.0625 eV per atom

=====

Entry 6:
Material: La2Pr7Y2
Method: DFT, PBE
State: optimized geometry

Cell: 7.0947 7.0947 9.6701 Å, 90.00 90.00 122.61°
Fractional coordinates of all 11 atoms:
1 La 0.2488 0.2488 0.0000
2 La 0.7512 0.7512 0.0000
3 Pr 0.0000 0.0000 0.5000
4 Pr 0.0000 0.5000 0.1829
5 Pr 0.0000 0.5000 0.8171
6 Pr 0.5000 0.0000 0.1829
7 Pr 0.5000 0.0000 0.8171
8 Pr 0.5000 0.5000 0.3217
9 Pr 0.5000 0.5000 0.6783
10 Y 0.2679 0.7321 0.5000
11 Y 0.7321 0.2679 0.5000

Distance to the lowest polymorph of the same formula = 192 meV/atom
N(E_F) = 1.9211 states/eV/atom
Energy relative to the elements = 0.3129 eV per atom

=====

Entry 7:
Material: La2NdSmN4
Method: DFT, PBE
State: optimized geometry

Cell: 6.3803 3.6836 6.3942 Å, 90.00 109.43 90.00°
Fractional coordinates of all 8 atoms:
1 La 0.0000 0.0000 0.0000
2 La 0.5000 0.5000 0.0000
3 Nd 0.0000 0.5000 0.5000
4 Sm 0.5000 0.0000 0.5000
5 N 0.2501 0.0000 0.7444
6 N 0.2538 0.5000 0.2566
7 N 0.7462 0.5000 0.7434
8 N 0.7499 0.0000 0.2556

N(E_F) = 0.0882 states/eV/atom

=====

Entry 8:
Material: CsKRb2O
Method: DFT, PBE
State: optimized geometry

Cell: 13.1250 13.1250 9.1837 Å, 90.00 90.00 159.89°
Fractional coordinates of all 10 atoms:
1 Cs 0.9998 0.0002 0.2500
2 Cs 0.0002 0.9998 0.7500
3 K 0.2446 0.7554 0.7500
4 K 0.7554 0.2446 0.2500
5 Rb 0.4014 0.5986 0.0000
6 Rb 0.4014 0.5986 0.5000
7 Rb 0.5986 0.4014 0.0000
8 Rb 0.5986 0.4014 0.5000
9 O 0.5000 0.5000 0.0000
10 O 0.5000 0.5000 0.5000

Distance to the lowest polymorph of the same formula = 0 meV/atom
N(E_F) = 0.3583 states/eV/atom

=====

Entry 9:
Material: SrNbAu
Method: DFT, PBE
State: optimized geometry

Cell: 7.8891 5.2746 7.8459 Å, 90.00 90.42 90.00°
Fractional coordinates of all 12 atoms:
1 Sr 0.0000 0.0000 0.0000
2 Sr 0.1692 0.5000 0.3447
3 Sr 0.5000 0.5000 0.0000
4 Sr 0.6692 0.0000 0.3447
5 Nb 0.1408 0.5000 0.7672
6 Nb 0.3565 0.0000 0.6742
7 Nb 0.6408 0.0000 0.7672
8 Nb 0.8565 0.5000 0.6742
9 Au 0.3695 0.0000 0.0562
10 Au 0.4904 0.5000 0.6105
11 Au 0.8695 0.5000 0.0562
12 Au 0.9904 0.0000 0.6105

Distance to the lowest polymorph of the same formula = 230 meV/atom
N(E_F) = 0.6411 states/eV/atom
Energy relative to the elements = 0.0950 eV per atom

=====

Entry 10:
Material: Dy3TaO7
Method: DFT, PBE
State: optimized geometry

Cell: 8.1650 5.4182 7.5295 Å, 90.00 116.33 90.00°
Fractional coordinates of all 22 atoms:
1 Dy 0.0000 0.0138 0.0000
2 Dy 0.0000 0.9862 0.5000
3 Dy 0.2399 0.4821 0.8527
4 Dy 0.2399 0.5179 0.3527
5 Dy 0.7517 0.4831 0.1481
6 Dy 0.7517 0.5169 0.6481
7 Ta 0.4961 0.0022 0.2480
8 Ta 0.4961 0.9978 0.7480
9 O 0.0027 0.2546 0.7303
10 O 0.0027 0.7454 0.2303
11 O 0.2700 0.2185 0.1591
12 O 0.2700 0.7815 0.6591
13 O 0.3275 0.2755 0.6212
14 O 0.3275 0.7245 0.1212
15 O 0.4973 0.1311 0.9985
16 O 0.4973 0.8689 0.4985
17 O 0.6529 0.2915 0.3733
18 O 0.6529 0.7085 0.8733
19 O 0.7213 0.2058 0.8331
20 O 0.7213 0.7942 0.3331
21 O 0.9881 0.2539 0.2649
22 O 0.9881 0.7461 0.7649

Distance to the lowest polymorph of the same formula = 50 meV/atom
N(E_F) = 0.0000 states/eV/atom

=====

Entry 11:
Material: BeNbNi2Cl
Method: DFT, PBE
State: optimized geometry

Cell: 4.6765 4.6765 4.6524 Å, 90.00 90.00 90.00°
Fractional coordinates of all 5 atoms:
1 Be 0.0000 0.0000 0.0000
2 Nb 0.5000 0.5000 0.5000
3 Ni 0.0000 0.5000 0.5000
4 Ni 0.5000 0.0000 0.5000
5 Cl 0.5000 0.5000 0.0000

N(E_F) = 1.1057 states/eV/atom

=====

Entry 12:
Material: Al2BrCl
Method: DFT, PBE
State: optimized geometry

Cell: 3.3532 8.5594 9.7278 Å, 90.00 90.00 90.00°
Fractional coordinates of all 8 atoms:
1 Al 0.0000 0.0000 0.0000
2 Al 0.0000 0.5000 0.2998
3 Al 0.5000 0.0000 0.7998
4 Al 0.5000 0.5000 0.5000
5 Br 0.0000 0.5000 0.6915
6 Br 0.5000 0.0000 0.1915
7 Cl 0.0000 0.0000 0.6266
8 Cl 0.5000 0.5000 0.1266

Distance to the lowest polymorph of the same formula = 362 meV/atom
N(E_F) = 0.7708 states/eV/atom

=====

Entry 13:
Material: AlCoSeN2
Method: DFT, PBE
State: optimized geometry

Cell: 3.6440 3.6440 5.1146 Å, 90.00 90.00 90.00°
Fractional coordinates of all 5 atoms:
1 Al 0.0000 0.0000 0.0000
2 Co 0.5000 0.5000 0.5000
3 Se 0.5000 0.5000 0.0000
4 N 0.0000 0.5000 0.5000
5 N 0.5000 0.0000 0.5000

Distance to the lowest polymorph of the same formula = 0 meV/atom
N(E_F) = 0.9252 states/eV/atom

=====

Entry 14:
Material: Dy5TmTl5
Method: DFT, PBE
State: optimized geometry

Cell: 9.0367 9.0367 7.0536 Å, 108.55 108.55 37.04°
Fractional coordinates of all 11 atoms:
1 Dy 0.0000 0.0000 0.0000
2 Dy 0.3146 0.3146 0.2688
3 Dy 0.3651 0.3651 0.8074
4 Dy 0.6349 0.6349 0.1926
5 Dy 0.6854 0.6854 0.7312
6 Tm 0.0000 0.0000 0.5000
7 Tl 0.1603 0.1603 0.8940
8 Tl 0.1672 0.1672 0.4378
9 Tl 0.5000 0.5000 0.5000
10 Tl 0.8328 0.8328 0.5622
11 Tl 0.8397 0.8397 0.1060

N(E_F) = 0.9474 states/eV/atom
Energy relative to the elements = -0.0961 eV per atom

=====

Entry 15:
Material: La7Dy6Tm16
Method: DFT, PBE
State: optimized geometry

Cell: 11.0404 11.0404 11.0404 Å, 60.00 60.00 60.00°
Fractional coordinates of all 29 atoms:
1 La 0.0000 0.0000 0.0000
2 La 0.0000 0.0000 0.5000
3 La 0.0000 0.5000 0.0000
4 La 0.0000 0.5000 0.5000
5 La 0.5000 0.0000 0.0000
6 La 0.5000 0.0000 0.5000
7 La 0.5000 0.5000 0.0000
8 Dy 0.2273 0.2273 0.7727
9 Dy 0.2273 0.7727 0.2273
10 Dy 0.2273 0.7727 0.7727
11 Dy 0.7727 0.2273 0.2273
12 Dy 0.7727 0.2273 0.7727
13 Dy 0.7727 0.7727 0.2273
14 Tm 0.1488 0.1488 0.1488
15 Tm 0.1488 0.1488 0.5536
16 Tm 0.1488 0.5536 0.1488
17 Tm 0.1651 0.6116 0.6116
18 Tm 0.3884 0.3884 0.3884
19 Tm 0.3884 0.3884 0.8349
20 Tm 0.3884 0.8349 0.3884
21 Tm 0.4464 0.8512 0.8512
22 Tm 0.5536 0.1488 0.1488
23 Tm 0.6116 0.1651 0.6116
24 Tm 0.6116 0.6116 0.1651
25 Tm 0.6116 0.6116 0.6116
26 Tm 0.8349 0.3884 0.3884
27 Tm 0.8512 0.4464 0.8512
28 Tm 0.8512 0.8512 0.4464
29 Tm 0.8512 0.8512 0.8512

N(E_F) = 1.8284 states/eV/atom
Energy relative to the elements = 0.2102 eV per atom

=====

Entry 16:
Material: La2Pm5
Method: DFT, PBE
State: optimized geometry

Cell: 9.1176 9.1176 9.1176 Å, 37.15 37.15 37.15°
Fractional coordinates of all 7 atoms:
1 La 0.1351 0.1351 0.1351
2 La 0.8649 0.8649 0.8649
3 Pm 0.0000 0.0000 0.0000
4 Pm 0.2724 0.2724 0.2724
5 Pm 0.4129 0.4129 0.4129
6 Pm 0.5871 0.5871 0.5871
7 Pm 0.7276 0.7276 0.7276

Distance to the lowest polymorph of the same formula = 83 meV/atom
N(E_F) = 1.9889 states/eV/atom
Energy relative to the elements = 0.1185 eV per atom

=====

Entry 17:
Material: CsCrTeCl6
Method: DFT, PBE
State: optimized geometry

Cell: 6.7542 6.7618 7.3609 Å, 93.65 93.71 108.20°
Fractional coordinates of all 9 atoms:
1 Cs 0.0000 0.0000 0.0000
2 Cr 0.3636 0.6369 0.5003
3 Te 0.7212 0.2790 0.5000
4 Cl 0.1005 0.3804 0.6615
5 Cl 0.1103 0.6555 0.2903
6 Cl 0.3458 0.8894 0.7110
7 Cl 0.3947 0.3383 0.3187
8 Cl 0.6198 0.9001 0.3390
9 Cl 0.6628 0.6053 0.6813

=====

Entry 18:
Material: Sr2CoH
Method: DFT, PBE
State: optimized geometry

Cell: 7.1401 7.1401 7.9259 Å, 90.00 90.00 90.00°
Fractional coordinates of all 16 atoms:
1 Sr 0.1876 0.2500 0.1250
2 Sr 0.2500 0.6876 0.3750
3 Sr 0.2500 0.8124 0.8750
4 Sr 0.3124 0.2500 0.6250
5 Sr 0.6876 0.7500 0.6250
6 Sr 0.7500 0.1876 0.8750
7 Sr 0.7500 0.3124 0.3750
8 Sr 0.8124 0.7500 0.1250
9 Co 0.0000 0.0000 0.5000
10 Co 0.0000 0.5000 0.7500
11 Co 0.5000 0.0000 0.2500
12 Co 0.5000 0.5000 0.0000
13 H 0.0000 0.0000 0.0000
14 H 0.0000 0.5000 0.2500
15 H 0.5000 0.0000 0.7500
16 H 0.5000 0.5000 0.5000

Distance to the lowest polymorph of the same formula = 0 meV/atom
N(E_F) = 0.9166 states/eV/atom

=====

Entry 19:
Material: Sr2MoCl
Method: DFT, PBE
State: optimized geometry

Cell: 4.7951 5.0062 8.9352 Å, 90.00 90.00 90.00°
Fractional coordinates of all 8 atoms:
1 Sr 0.0000 0.0000 0.2499
2 Sr 0.0000 0.0000 0.7501
3 Sr 0.5000 0.5000 0.2499
4 Sr 0.5000 0.5000 0.7501
5 Mo 0.0000 0.5000 0.0000
6 Mo 0.5000 0.0000 0.0000
7 Cl 0.0000 0.5000 0.5000
8 Cl 0.5000 0.0000 0.5000

Distance to the lowest polymorph of the same formula = 0 meV/atom
N(E_F) = 0.8360 states/eV/atom

=====

Entry 20:
Material: PmGa2P
Method: DFT, PBE
State: optimized geometry

Cell: 4.1672 4.1672 4.6660 Å, 90.00 90.00 90.00°
Fractional coordinates of all 4 atoms:
1 Pm 0.0000 0.0000 0.0000
2 Ga 0.0000 0.5000 0.5000
3 Ga 0.5000 0.0000 0.5000
4 P 0.5000 0.5000 0.0000

Distance to the lowest polymorph of the same formula = 0 meV/atom
N(E_F) = 0.3512 states/eV/atom
Energy relative to the elements = -0.5509 eV per atom

=====

Entry 21:
Material: Sr2MgCd6
Method: DFT, PBE
State: optimized geometry

Cell: 7.0992 7.0992 7.1110 Å, 119.87 119.87 60.07°
Fractional coordinates of all 9 atoms:
1 Sr 0.2499 0.2499 0.2485
2 Sr 0.7501 0.7501 0.7515
3 Mg 0.5000 0.5000 0.0000
4 Cd 0.2161 0.2161 0.7149
5 Cd 0.2159 0.7834 0.7157
6 Cd 0.2166 0.7841 0.2843
7 Cd 0.7834 0.2159 0.7157
8 Cd 0.7841 0.2166 0.2843
9 Cd 0.7839 0.7839 0.2851

N(E_F) = 0.6466 states/eV/atom
Energy relative to the elements = -0.2044 eV per atom

=====

Entry 22:
Material: Nd2Zn3Pt12Rh
Method: DFT, PBE
State: optimized geometry

Cell: 9.5040 9.5040 9.5040 Å, 42.23 42.23 42.23°
Fractional coordinates of all 18 atoms:
1 Nd 0.1566 0.1566 0.1566
2 Nd 0.8434 0.8434 0.8434
3 Zn 0.0000 0.5000 0.5000
4 Zn 0.5000 0.0000 0.5000
5 Zn 0.5000 0.5000 0.0000
6 Pt 0.0846 0.0846 0.6880
7 Pt 0.0846 0.6880 0.0846
8 Pt 0.1275 0.5856 0.5856
9 Pt 0.3120 0.9154 0.9154
10 Pt 0.4144 0.4144 0.8725
11 Pt 0.4144 0.8725 0.4144
12 Pt 0.5856 0.1275 0.5856
13 Pt 0.5856 0.5856 0.1275
14 Pt 0.6880 0.0846 0.0846
15 Pt 0.8725 0.4144 0.4144
16 Pt 0.9154 0.3120 0.9154
17 Pt 0.9154 0.9154 0.3120
18 Rh 0.5000 0.5000 0.5000

N(E_F) = 0.6959 states/eV/atom
Energy relative to the elements = -0.2406 eV per atom

=====

Entry 23:
Material: DySnTe4Pb2
Method: DFT, PBE
State: optimized geometry

Cell: 7.8897 4.3290 8.2071 Å, 90.00 105.34 90.00°
Fractional coordinates of all 8 atoms:
1 Dy 0.0000 0.0000 0.0000
2 Sn 0.5000 0.5000 0.0000
3 Te 0.2330 0.5000 0.2250
4 Te 0.2507 0.0000 0.7624
5 Te 0.7493 0.0000 0.2376
6 Te 0.7670 0.5000 0.7750
7 Pb 0.0000 0.5000 0.5000
8 Pb 0.5000 0.0000 0.5000

N(E_F) = 0.4568 states/eV/atom

=====

Number 1: energy -74.2 eV per cell. Number 2: energy -17.7 eV per cell. Number 3: energy -20.7 eV per cell. Number 4: energy -140.8 eV per cell. Number 5: energy -10.7 eV per cell. Number 6: energy -52.8 eV per cell. Number 7: energy -63.5 eV per cell. Number 8: energy -22.7 eV per cell. Number 9: energy -59.0 eV per cell. Number 10: energy -195.0 eV per cell. Number 11: energy -21.2 eV per cell. Number 12: energy -24.2 eV per cell. Number 13: energy -26.8 eV per cell. Number 14: energy -40.4 eV per cell. Number 15: energy -127.6 eV per cell. Number 16: energy -32.8 eV per cell. Number 17: energy -33.9 eV per cell. Number 18: energy -50.2 eV per cell. Number 19: energy -32.9 eV per cell. Number 20: energy -18.4 eV per cell. Number 21: energy -12.3 eV per cell. Number 22: energy -97.5 eV per cell. Number 23: energy -33.1 eV per cell.